*A*
DFT (PBE) results for a relaxed Mn3InSe crystal.

Calculated values
For the density of states at the Fermi level, the calculation gives 3.6 states/eV per cell.

extended XYZ file:
```
5
Lattice="-1.6620 3.6603 -2.2992 -3.9663 -0.3122 2.3700 1.7182 2.8198 3.2470" Properties=species:S:1:pos:R:3 pbc="T T T"
Se 0.0000 0.0000 0.0000
Mn -0.8310 1.8301 -1.1496
Mn -1.9832 -0.1561 1.1850
Mn 0.8591 1.4099 1.6235
In -1.9551 3.0839 1.6589
```

*B*
DFT (PBE) results for a relaxed Mn3InSe crystal.

Calculated values
For the density of states at the Fermi level, the calculation gives 5.1 states/eV per cell.

extended XYZ file:
```
5
Lattice="5.1074 0.0000 0.0000 0.0000 5.1074 0.0000 0.0000 0.0000 5.1074" Properties=species:S:1:pos:R:3 pbc="T T T"
Se 2.5537 2.5537 2.5537
Mn 0.0000 2.5537 0.0000
Mn 0.0000 0.0000 2.5537
Mn 2.5537 0.0000 0.0000
In 0.0000 0.0000 0.0000
```

Out of the structures above, which one is the least stable? Solution: *B*.